Entry 1:
LiNiP | GGA-PBE | optimized geometry

Cell lengths 3.8580, 3.8580, 2.8243 Å; angles 90.00, 90.00, 120.00 degrees
Element x y z (fractional)
1 Li 0.0000 0.0000 0.9999
2 Ni 0.6667 0.3333 0.5000
3 P 0.3333 0.6667 0.5001

V: 36.4 Å³ per cell
space group: P-6m2, No. 187
E_form: -0.49 eV per atom



Entry 2:
Li2Ni12P7 | GGA-PBE | optimized geometry

Cell lengths 3.5270, 9.0649, 9.0649 Å; angles 120.00, 90.00, 90.00 degrees
Element x y z (fractional)
1 Li 0.2516 0.3333 0.6667
2 Li 0.7484 0.6667 0.3333
3 Ni 0.2486 0.6206 0.0579
4 Ni 0.2486 0.4373 0.3794
5 Ni 0.2486 0.9421 0.5627
6 Ni 0.7514 0.3794 0.9421
7 Ni 0.7514 0.5627 0.6206
8 Ni 0.7514 0.0579 0.4373
9 Ni 0.2496 0.1118 0.2592
10 Ni 0.2496 0.1475 0.8882
11 Ni 0.2496 0.7408 0.8525
12 Ni 0.7504 0.8882 0.7408
13 Ni 0.7504 0.8525 0.1118
14 Ni 0.7504 0.2592 0.1475
15 P 0.5000 0.0000 0.0000
16 P 0.2488 0.8778 0.2933
17 P 0.2488 0.4155 0.1222
18 P 0.2488 0.7067 0.5845
19 P 0.7512 0.1222 0.7067
20 P 0.7512 0.5845 0.8778
21 P 0.7512 0.2933 0.4155

V: 251.0 Å³ per cell
space group: P-3, No. 147
E_form: -0.57 eV per atom



Entry 3:
LiNiP | GGA-PBE | optimized geometry

Cell lengths 4.3030, 4.3030, 4.0707 Å; angles 90.00, 90.00, 120.02 degrees
Element x y z (fractional)
1 Li 0.0000 0.0000 0.5000
2 Ni 0.6667 0.3333 0.5000
3 P 0.6667 0.3333 0.0000

V: 65.3 Å³ per cell
space group: P-6m2, No. 187
E_form: 0.13 eV per atom



Entry 4:
LiPa2Ni12P3 | GGA-PBE | optimized geometry

Cell lengths 6.2429, 6.2429, 6.2429 Å; angles 84.16, 84.16, 84.16 degrees
Element x y z (fractional)
1 Li 0.0000 0.0000 0.0000
2 Pa 0.6687 0.6687 0.6687
3 Pa 0.3313 0.3313 0.3313
4 Ni 0.3838 0.3838 0.8935
5 Ni 0.8143 0.8143 0.3126
6 Ni 0.3126 0.8143 0.8143
7 Ni 0.8935 0.3838 0.3838
8 Ni 0.8143 0.3126 0.8143
9 Ni 0.3838 0.8935 0.3838
10 Ni 0.6162 0.6162 0.1065
11 Ni 0.1857 0.1857 0.6874
12 Ni 0.6874 0.1857 0.1857
13 Ni 0.1065 0.6162 0.6162
14 Ni 0.1857 0.6874 0.1857
15 Ni 0.6162 0.1065 0.6162
16 P 0.5000 0.0000 0.0000
17 P 0.0000 0.5000 0.0000
18 P 0.0000 0.0000 0.5000

V: 239.8 Å³ per cell
space group: R-3m, No. 166
E_form: -0.26 eV per atom



Entry 5:
LiPm2Ni12P3 | GGA-PBE | optimized geometry

Cell lengths 6.2711, 6.2711, 6.2711 Å; angles 84.76, 84.76, 84.76 degrees
Element x y z (fractional)
1 Li 0.0000 0.0000 0.0000
2 Pm 0.6542 0.6542 0.6542
3 Pm 0.3458 0.3458 0.3458
4 Ni 0.3753 0.3753 0.8964
5 Ni 0.8230 0.8230 0.3064
6 Ni 0.3064 0.8230 0.8230
7 Ni 0.8964 0.3753 0.3753
8 Ni 0.8230 0.3064 0.8230
9 Ni 0.3753 0.8964 0.3753
10 Ni 0.6247 0.6247 0.1036
11 Ni 0.1770 0.1770 0.6936
12 Ni 0.6936 0.1770 0.1770
13 Ni 0.1036 0.6247 0.6247
14 Ni 0.1770 0.6936 0.1770
15 Ni 0.6247 0.1036 0.6247
16 P 0.5000 0.0000 0.0000
17 P 0.0000 0.5000 0.0000
18 P 0.0000 0.0000 0.5000

V: 243.7 Å³ per cell
space group: R-3m, No. 166
E_form: -0.15 eV per atom



Entry 6:
LiPm2Ni4P3 | GGA-PBE | optimized geometry

Cell lengths 3.9796, 3.9796, 9.3073 Å; angles 90.00, 90.00, 90.00 degrees
Element x y z (fractional)
1 Li 0.5000 0.5000 0.5000
2 Pm 0.5000 0.0000 0.2456
3 Pm 0.0000 0.5000 0.7544
4 Ni 0.5000 0.5000 0.0000
5 Ni 0.0000 0.0000 0.0000
6 Ni 0.5000 0.0000 0.6234
7 Ni 0.0000 0.5000 0.3766
8 P 0.0000 0.0000 0.5000
9 P 0.5000 0.0000 0.8669
10 P 0.0000 0.5000 0.1331

V: 147.4 Å³ per cell
space group: P-4m2, No. 115
E_form: -0.92 eV per atom



Entry 7:
LiPmNi2P2 | GGA-PBE | optimized geometry

Cell lengths 3.9297, 3.9297, 6.5372 Å; angles 90.00, 90.00, 120.00 degrees
Element x y z (fractional)
1 Li 0.0000 0.0000 0.5000
2 Pm 0.0000 0.0000 0.0000
3 Ni 0.6667 0.3333 0.3470
4 Ni 0.3333 0.6667 0.6530
5 P 0.6667 0.3333 0.7102
6 P 0.3333 0.6667 0.2898

V: 87.4 Å³ per cell
space group: P-3m1, No. 164
E_form: -0.94 eV per atom



Entry 8:
LiPmNiP2 | GGA-PBE | optimized geometry

Cell lengths 5.5226, 5.2293, 5.6660 Å; angles 90.00, 90.00, 90.00 degrees
Element x y z (fractional)
1 Li 0.5998 0.7500 0.0000
2 Li 0.4002 0.2500 0.0000
3 Pm 0.2336 0.2500 0.5000
4 Pm 0.7664 0.7500 0.5000
5 Ni 0.0000 0.0000 0.0000
6 Ni 0.0000 0.5000 0.0000
7 P 0.7640 0.2500 0.7558
8 P 0.7640 0.2500 0.2442
9 P 0.2360 0.7500 0.7558
10 P 0.2360 0.7500 0.2442

V: 163.6 Å³ per cell
space group: Pmma, No. 51
E_form: -0.77 eV per atom



Entry 9:
LiPr2Ni3P4 | GGA-PBE | optimized geometry

Cell lengths 4.1065, 4.1065, 9.2864 Å; angles 90.00, 90.00, 90.00 degrees
Element x y z (fractional)
1 Li 0.5000 0.5000 0.5000
2 Pr 0.5000 0.0000 0.2465
3 Pr 0.0000 0.5000 0.7535
4 Ni 0.0000 0.0000 0.5000
5 Ni 0.5000 0.0000 0.8907
6 Ni 0.0000 0.5000 0.1093
7 P 0.5000 0.5000 0.0000
8 P 0.0000 0.0000 0.0000
9 P 0.5000 0.0000 0.6360
10 P 0.0000 0.5000 0.3640

V: 156.6 Å³ per cell
space group: P-4m2, No. 115
E_form: -0.97 eV per atom



Entry 10:
LiPr2Ni4P3 | GGA-PBE | optimized geometry

Cell lengths 4.0188, 4.0188, 9.3554 Å; angles 90.00, 90.00, 90.00 degrees
Element x y z (fractional)
1 Li 0.5000 0.5000 0.5000
2 Pr 0.5000 0.0000 0.2459
3 Pr 0.0000 0.5000 0.7541
4 Ni 0.5000 0.5000 0.0000
5 Ni 0.0000 0.0000 0.0000
6 Ni 0.5000 0.0000 0.6229
7 Ni 0.0000 0.5000 0.3771
8 P 0.0000 0.0000 0.5000
9 P 0.5000 0.0000 0.8686
10 P 0.0000 0.5000 0.1314

V: 151.1 Å³ per cell
space group: P-4m2, No. 115
E_form: -0.89 eV per atom



Entry 11:
LiPrNiP2 | GGA-PBE | optimized geometry

Cell lengths 5.5861, 5.2557, 5.7281 Å; angles 90.00, 90.00, 90.00 degrees
Element x y z (fractional)
1 Li 0.6020 0.7500 0.0000
2 Li 0.3980 0.2500 0.0000
3 Pr 0.2337 0.2500 0.5000
4 Pr 0.7663 0.7500 0.5000
5 Ni 0.0000 0.0000 0.0000
6 Ni 0.0000 0.5000 0.0000
7 P 0.7636 0.2500 0.7636
8 P 0.7636 0.2500 0.2364
9 P 0.2364 0.7500 0.7636
10 P 0.2364 0.7500 0.2364

V: 168.2 Å³ per cell
space group: Pmma, No. 51
E_form: -0.76 eV per atom



Entry 12:
LiPr2Ni12P3 | GGA-PBE | optimized geometry

Cell lengths 6.3073, 6.3073, 6.3073 Å; angles 84.76, 84.76, 84.76 degrees
Element x y z (fractional)
1 Li 0.0000 0.0000 0.0000
2 Pr 0.6527 0.6527 0.6527
3 Pr 0.3473 0.3473 0.3473
4 Ni 0.3727 0.3727 0.8963
5 Ni 0.8248 0.8248 0.3056
6 Ni 0.3056 0.8248 0.8248
7 Ni 0.8963 0.3727 0.3727
8 Ni 0.8248 0.3056 0.8248
9 Ni 0.3727 0.8963 0.3727
10 Ni 0.6273 0.6273 0.1037
11 Ni 0.1752 0.1752 0.6944
12 Ni 0.6944 0.1752 0.1752
13 Ni 0.1037 0.6273 0.6273
14 Ni 0.1752 0.6944 0.1752
15 Ni 0.6273 0.1037 0.6273
16 P 0.5000 0.0000 0.0000
17 P 0.0000 0.5000 0.0000
18 P 0.0000 0.0000 0.5000

V: 247.9 Å³ per cell
space group: R-3m, No. 166
E_form: -0.12 eV per atom



Entry 13:
LiNiP2Rh | GGA-PBE | optimized geometry

Cell lengths 3.8644, 3.8644, 5.4337 Å; angles 110.83, 110.83, 90.00 degrees
Element x y z (fractional)
1 Li 0.0000 0.0000 0.0000
2 Ni 0.7500 0.2500 0.5000
3 P 0.6150 0.6150 0.2301
4 P 0.3850 0.3850 0.7699
5 Rh 0.2500 0.7500 0.5000

V: 70.1 Å³ per cell
space group: I-4m2, No. 119
E_form: -0.65 eV per atom



Entry 14:
LiNiPRu | GGA-PBE | optimized geometry

Cell lengths 3.9675, 3.9675, 3.9675 Å; angles 60.00, 60.00, 60.00 degrees
Element x y z (fractional)
1 Ru 0.7500 0.7500 0.7500
2 Li 0.5000 0.5000 0.5000
3 P 0.0000 0.0000 0.0000
4 Ni 0.2500 0.2500 0.2500

V: 44.2 Å³ per cell
space group: F-43m, No. 216
E_form: -0.42 eV per atom



Entry 15:
LiNiP2Ru | GGA-PBE | optimized geometry

Cell lengths 4.2284, 3.7027, 4.2284 Å; angles 90.00, 90.00, 90.00 degrees
Site moments in Bohr magnetons follow the coordinates.
Element x y z (fractional)
1 Ru 0.5000 0.5000 0.5000  1.02
2 Li 0.0000 0.0000 0.0000  0.01
3 P 0.0000 0.0000 0.5000  0.03
4 P 0.5000 0.0000 0.0000  0.00
5 Ni 0.0000 0.5000 0.0000  0.30

V: 66.2 Å³ per cell
space group: P4/mmm, No. 123
E_form: 0.83 eV per atom



Entry 16:
LiNiP2Ru | GGA-PBE | optimized geometry

Cell lengths 3.8347, 3.8347, 5.4751 Å; angles 110.50, 110.50, 90.00 degrees
Element x y z (fractional)
1 Li 0.0000 0.0000 0.0000
2 Ni 0.2500 0.7500 0.5000
3 P 0.6174 0.6174 0.2349
4 P 0.3826 0.3826 0.7651
5 Ru 0.7500 0.2500 0.5000

V: 69.9 Å³ per cell
space group: I-4m2, No. 119
E_form: -0.61 eV per atom



Entry 17:
Li2NiP2S6 | GGA-PBE | optimized geometry

Cell lengths 5.9651, 5.9649, 6.8312 Å; angles 89.99, 90.02, 120.00 degrees
Site moments in Bohr magnetons follow the coordinates.
Element x y z (fractional)
1 Li 0.6968 0.3633 0.0000  0.00
2 Li 0.3636 0.6968 0.5000  0.00
3 Ni 0.3636 0.6971 0.0000  1.23
4 P 0.0304 0.0304 0.1625  0.00
5 P 0.0302 0.0304 0.8375  0.00
6 S 0.0500 0.7061 0.2292  0.08
7 S 0.3543 0.0108 0.7707  0.08
8 S 0.6864 0.7061 0.7709  0.08
9 S 0.3547 0.3741 0.2292  0.08
10 S 0.0497 0.3741 0.7708  0.08
11 S 0.6867 0.0108 0.2293  0.08

V: 210.5 Å³ per cell
space group: P312, No. 149
electronic total energy: -51.5 eV/cell



Entry 18:
LiNiP2S | GGA-PBE | optimized geometry

Cell lengths 4.2720, 4.2720, 5.0802 Å; angles 90.00, 90.00, 90.00 degrees
Site moments in Bohr magnetons follow the coordinates.
Element x y z (fractional)
1 Ni 0.0000 0.0000 0.0000  0.08
2 S 0.0000 0.0000 0.5000  0.02
3 Li 0.5000 0.5000 0.5000  0.00
4 P 0.0000 0.5000 0.0000  0.08
5 P 0.5000 0.0000 0.0000  0.08

V: 92.7 Å³ per cell
space group: P4/mmm, No. 123
electronic total energy: -21.5 eV/cell



Entry 19:
LiNiP2S6 | GGA-PBE | optimized geometry

Cell lengths 5.9095, 5.9095, 7.3789 Å; angles 83.03, 83.03, 120.82 degrees
Site moments in Bohr magnetons follow the coordinates.
Element x y z (fractional)
1 Li 0.3340 0.6660 0.0000  0.00
2 Ni 0.6623 0.3377 0.0000  0.61
3 P 0.0509 0.0536 0.8479  0.00
4 P 0.9464 0.9491 0.1521  0.00
5 S 0.0448 0.3934 0.7770  0.07
6 S 0.4264 0.1035 0.7885  0.01
7 S 0.8965 0.5736 0.2115  0.01
8 S 0.6066 0.9552 0.2230  0.07
9 S 0.2787 0.2466 0.2240  0.05
10 S 0.7534 0.7213 0.7760  0.05

V: 214.5 Å³ per cell
space group: C2, No. 5
electronic total energy: -47.2 eV/cell



Entry 20:
LiSm2Ni12P3 | GGA-PBE | optimized geometry

Cell lengths 6.2594, 6.2594, 6.2594 Å; angles 84.74, 84.74, 84.74 degrees
Element x y z (fractional)
1 Li 0.0000 0.0000 0.0000
2 Sm 0.6543 0.6543 0.6543
3 Sm 0.3457 0.3457 0.3457
4 Ni 0.3758 0.3758 0.8966
5 Ni 0.8225 0.8225 0.3068
6 Ni 0.3068 0.8225 0.8225
7 Ni 0.8966 0.3758 0.3758
8 Ni 0.8225 0.3068 0.8225
9 Ni 0.3758 0.8966 0.3758
10 Ni 0.6242 0.6242 0.1034
11 Ni 0.1775 0.1775 0.6932
12 Ni 0.6932 0.1775 0.1775
13 Ni 0.1034 0.6242 0.6242
14 Ni 0.1775 0.6932 0.1775
15 Ni 0.6242 0.1034 0.6242
16 P 0.5000 0.0000 0.0000
17 P 0.0000 0.5000 0.0000
18 P 0.0000 0.0000 0.5000

V: 242.3 Å³ per cell
space group: R-3m, No. 166
E_form: -0.16 eV per atom



Entry 21:
LiSm2Ni3P4 | GGA-PBE | optimized geometry

Cell lengths 4.0567, 4.0567, 9.2252 Å; angles 90.00, 90.00, 90.00 degrees
Element x y z (fractional)
1 Li 0.5000 0.5000 0.5000
2 Sm 0.5000 0.0000 0.2455
3 Sm 0.0000 0.5000 0.7545
4 Ni 0.0000 0.0000 0.5000
5 Ni 0.5000 0.0000 0.8887
6 Ni 0.0000 0.5000 0.1113
7 P 0.5000 0.5000 0.0000
8 P 0.0000 0.0000 0.0000
9 P 0.5000 0.0000 0.6371
10 P 0.0000 0.5000 0.3629

V: 151.8 Å³ per cell
space group: P-4m2, No. 115
E_form: -0.98 eV per atom



Entry 22:
Sr2LiNiP2 | GGA-PBE | optimized geometry

Cell lengths 5.9984, 5.9304, 8.1308 Å; angles 111.39, 111.65, 90.00 degrees
Site moments in Bohr magnetons follow the coordinates.
Element x y z (fractional)
1 Sr 0.4066 0.1591 0.3182  0.01
2 Sr 0.5934 0.8409 0.6818  0.01
3 Sr 0.0884 0.3409 0.6818  0.01
4 Sr 0.9116 0.6591 0.3182  0.01
5 Li 0.0000 0.7500 0.0000  0.00
6 Li 0.0000 0.2500 0.0000  0.00
7 Ni 0.5000 0.7500 0.0000  0.40
8 Ni 0.5000 0.2500 0.0000  0.40
9 P 0.8265 0.0963 0.1926  0.03
10 P 0.3660 0.5963 0.1926  0.03
11 P 0.6340 0.4037 0.8074  0.03
12 P 0.1735 0.9037 0.8074  0.03

V: 247.3 Å³ per cell
space group: Ibam, No. 72
E_form: -0.79 eV per atom